First-principles (meta-GGA SCAN) data for RbSc2Sb at its PBEsol-relaxed geometry, as listed in Alexandria via LeMat-Bulk.

Lattice parameters (Å, degrees): 5.6206 5.6206 20.2387 90.00 90.00 90.00
Closest atoms and distances in Å follow each position.
Space group I4_1/amd (No. 141, origin choice 2)
One atom of each set of equivalent atoms:
Rb: 0.0000 0.2500 0.3750 [4 per cell]  4 Sb 3.97, 8 Sc 4.03
Sc: 0.0000 0.0000 0.0000 [8 per cell]  2 Sc 2.81, 2 Sb 2.89
Sb: 0.0000 0.2500 0.8750 [4 per cell]  4 Sc 2.89

## Properties
The formation energy (no corrections) is 0.9 eV per formula unit. For the raw total energy, the calculation gives -21.387 eV/atom. For the total moment, the calculation gives 2.52 μB per formula unit. Its density of states at the Fermi level is 13.5 states/eV/cell.